Record 1
A plane-wave DFT calculation with PBE was carried out for crystalline NdHo3Al at its relaxed geometry.

Geometry as POSCAR:
```
NdHo3Al
1.0
-5.311 0.359 0.920
-1.629 -6.076 -7.034
0.771 -8.523 7.775
Nd Ho Al
4 12 4
direct
0.000 0.823 0.553
0.000 0.177 0.447
0.500 0.177 0.947
0.500 0.823 0.053
0.999 0.889 0.231
0.001 0.111 0.769
0.499 0.111 0.269
0.501 0.889 0.731
0.499 0.759 0.364
0.501 0.241 0.636
0.999 0.241 0.136
0.001 0.759 0.864
0.002 0.468 0.650
0.998 0.532 0.350
0.502 0.532 0.850
0.498 0.468 0.150
0.998 0.602 0.087
0.002 0.398 0.913
0.498 0.398 0.413
0.502 0.602 0.587
```

Space-group type ... P2_1/c (14)
DFT formation energy ... -0.08 eV/atom
Energy above the lowest structure with this stoichiometry ... 62 meV/atom
Calculated volume ... 147.2 Å³/f.u.
Density of states at the Fermi level ... 21.1 states/eV per cell

Record 2
A plane-wave DFT calculation with PBE was carried out for crystalline NdHo5Al3 at its relaxed geometry.

Geometry as POSCAR:
```
NdHo5Al3
1.0
6.648 0.000 0.000
0.000 9.098 0.000
0.000 -4.549 7.878
Nd Ho Al
2 10 6
direct
0.000 0.000 0.000
0.500 0.000 0.000
0.000 0.667 0.333
0.500 0.333 0.667
0.000 0.333 0.667
0.500 0.667 0.333
0.750 0.668 0.668
0.750 0.000 0.332
0.750 0.332 0.000
0.250 0.332 0.332
0.250 0.000 0.668
0.250 0.668 0.000
0.750 0.340 0.340
0.750 0.000 0.660
0.750 0.660 0.000
0.250 0.660 0.660
0.250 0.000 0.340
0.250 0.340 0.000
```

Space-group type ... P6_3/mcm (193)
DFT formation energy ... -0.26 eV/atom
Calculated volume ... 238.2 Å³/f.u.
Density of states at the Fermi level ... 21.2 states/eV per cell

Record 3
A plane-wave DFT calculation with PBE was carried out for crystalline Nd2Ho3Al2 at its relaxed geometry.

Geometry as POSCAR:
```
Nd2Ho3Al2
1.0
-4.935 -1.463 1.410
4.203 -2.817 1.685
-0.676 6.964 4.862
Nd Ho Al
2 3 2
direct
0.914 0.828 0.243
0.086 0.172 0.757
0.500 0.000 0.000
0.652 0.303 0.455
0.348 0.697 0.545
0.780 0.560 0.839
0.220 0.440 0.161
```

Space-group type ... C2/m (12)
DFT formation energy ... -0.19 eV/atom
Calculated volume ... 195.7 Å³/f.u.
Density of states at the Fermi level ... 4.5 states/eV per cell

Record 4
A plane-wave DFT calculation with PBE was carried out for crystalline Nd15Ho4Al at its relaxed geometry.

Geometry as POSCAR:
```
Nd15Ho4Al
1.0
5.090 0.000 0.000
0.000 5.090 0.000
0.000 0.000 25.653
Nd Ho Al
15 4 1
direct
0.500 0.500 0.000
0.500 0.500 0.195
0.500 0.500 0.398
0.500 0.500 0.602
0.500 0.500 0.805
0.500 0.000 0.094
0.500 0.000 0.297
0.500 0.000 0.500
0.500 0.000 0.703
0.500 0.000 0.906
0.000 0.500 0.094
0.000 0.500 0.297
0.000 0.500 0.500
0.000 0.500 0.703
0.000 0.500 0.906
0.000 0.000 0.196
0.000 0.000 0.399
0.000 0.000 0.601
0.000 0.000 0.804
0.000 0.000 0.000
```

Space-group type ... P4/mmm (123)
DFT formation energy ... -0.01 eV/atom
Calculated volume ... 664.7 Å³/f.u.
Density of states at the Fermi level ... 26.8 states/eV per cell

Record 5
A plane-wave DFT calculation with PBE was carried out for crystalline NdHo3Al at its relaxed geometry.

Geometry as POSCAR:
```
NdHo3Al
1.0
3.598 0.000 -0.665
-0.373 8.384 -2.031
-0.073 -0.122 9.660
Nd Ho Al
2 6 2
direct
0.813 0.062 0.884
0.017 0.162 0.292
0.614 0.921 0.484
0.217 0.304 0.691
0.415 0.399 0.087
0.231 0.725 0.719
0.415 0.825 0.089
0.599 0.500 0.456
0.010 0.670 0.277
0.820 0.555 0.898
```

Space-group type ... C2/m (12)
DFT formation energy ... -0.14 eV/atom
Energy above the lowest structure with this stoichiometry ... 0 meV/atom
Calculated volume ... 145.0 Å³/f.u.
Density of states at the Fermi level ... 11.3 states/eV per cell

Record 6
A plane-wave DFT calculation with PBE was carried out for crystalline Nd3Ho12Al at its relaxed geometry.

Geometry as POSCAR:
```
Nd3Ho12Al
1.0
-2.224 3.732 -2.366
-4.417 -1.947 1.080
-0.472 10.527 17.052
Nd Ho Al
3 12 1
direct
0.000 0.000 0.246
0.000 0.000 0.500
0.000 0.000 0.754
0.500 0.500 0.000
0.500 0.500 0.241
0.500 0.500 0.500
0.500 0.500 0.759
0.500 0.000 0.116
0.500 0.000 0.372
0.500 0.000 0.628
0.500 0.000 0.884
0.000 0.500 0.116
0.000 0.500 0.372
0.000 0.500 0.628
0.000 0.500 0.884
0.000 0.000 0.000
```

Space-group type ... P4/mmm (123)
DFT formation energy ... -0.01 eV/atom
Calculated volume ... 490.5 Å³/f.u.
Density of states at the Fermi level ... 20.4 states/eV per cell

Record 7
A plane-wave DFT calculation with PBE was carried out for crystalline Nd2HoAl2 at its relaxed geometry.

Geometry as POSCAR:
```
Nd2HoAl2
1.0
-1.286 2.396 2.455
-0.294 -4.578 4.313
11.753 1.552 4.642
Nd Ho Al
4 2 4
direct
0.250 0.933 0.858
0.750 0.067 0.142
0.250 0.226 0.573
0.750 0.774 0.427
0.250 0.535 0.210
0.750 0.465 0.790
0.250 0.713 0.628
0.750 0.287 0.372
0.250 0.348 0.983
0.750 0.652 0.017
```

Space-group type ... P2_1/m (11)
DFT formation energy ... -0.15 eV/atom
Energy above the lowest structure with this stoichiometry ... 160 meV/atom
Calculated volume ... 145.8 Å³/f.u.
Density of states at the Fermi level ... 10.6 states/eV per cell

Record 8
A plane-wave DFT calculation with PBE was carried out for crystalline NdHoAl2 at its relaxed geometry.

Geometry as POSCAR:
```
NdHoAl2
1.0
-1.898 -3.204 3.591
2.588 -4.299 1.258
2.309 -0.372 4.615
Nd Ho Al
1 1 2
direct
0.500 0.500 0.500
0.000 0.000 0.000
0.250 0.250 0.250
0.750 0.750 0.750
```

Space-group type ... Fm-3m (225)
DFT formation energy ... -0.37 eV/atom
Energy above the lowest structure with this stoichiometry ... 12 meV/atom
Calculated volume ... 97.9 Å³/f.u.
Density of states at the Fermi level ... 1.6 states/eV per cell

Record 9
A plane-wave DFT calculation with PBE was carried out for crystalline NdHo2Al3 at its relaxed geometry.

Geometry as POSCAR:
```
NdHo2Al3
1.0
-2.087 -2.011 -2.156
2.686 -0.207 -2.406
3.704 -9.120 4.920
Nd Ho Al
1 2 3
direct
0.500 0.500 0.500
0.500 0.500 0.839
0.500 0.500 0.161
0.000 0.000 0.000
0.000 0.000 0.680
0.000 0.000 0.320
```

Space-group type ... P4/mmm (123)
DFT formation energy ... -0.38 eV/atom
Calculated volume ... 143.6 Å³/f.u.
Density of states at the Fermi level ... 2.3 states/eV per cell

Record 10
A plane-wave DFT calculation with PBE was carried out for crystalline NdHo6Al2 at its relaxed geometry.

Geometry as POSCAR:
```
NdHo6Al2
1.0
-1.356 -3.381 -0.536
4.919 -3.620 -2.253
4.368 -5.239 9.352
Nd Ho Al
1 6 2
direct
0.000 0.000 0.000
0.690 0.494 0.126
0.310 0.506 0.874
0.310 0.794 0.585
0.981 0.703 0.334
0.019 0.297 0.666
0.690 0.206 0.415
0.350 0.086 0.215
0.650 0.914 0.785
```

Space-group type ... C2/m (12)
DFT formation energy ... -0.16 eV/atom
Energy above the lowest structure with this stoichiometry ... 0 meV/atom
Calculated volume ... 256.0 Å³/f.u.
Density of states at the Fermi level ... 10.6 states/eV per cell

Record 11
A plane-wave DFT calculation with PBE was carried out for crystalline NdHoAl2 at its relaxed geometry.

Geometry as POSCAR:
```
NdHoAl2
1.0
3.641 0.000 0.000
1.821 3.153 0.000
1.821 1.051 9.298
Nd Ho Al
1 1 2
direct
0.500 0.500 0.500
0.000 0.000 0.000
0.748 0.748 0.757
0.252 0.252 0.243
```

Space-group type ... R-3m (166)
DFT formation energy ... -0.13 eV/atom
Energy above the lowest structure with this stoichiometry ... 252 meV/atom
Calculated volume ... 106.8 Å³/f.u.
Density of states at the Fermi level ... 2.0 states/eV per cell

Record 12
A plane-wave DFT calculation with PBE was carried out for crystalline Nd4Ho3Al4 at its relaxed geometry.

Geometry as POSCAR:
```
Nd4Ho3Al4
1.0
-3.295 -1.199 -0.387
1.584 -1.455 -8.971
3.807 -7.408 6.618
Nd Ho Al
4 3 4
direct
0.336 0.160 0.671
0.664 0.488 0.329
0.664 0.840 0.329
0.336 0.512 0.671
0.093 0.093 0.186
0.907 0.907 0.814
0.000 0.500 0.000
0.277 0.777 0.554
0.723 0.223 0.446
0.500 0.780 0.000
0.500 0.220 0.000
```

Space-group type ... Immm (71)
DFT formation energy ... -0.22 eV/atom
Calculated volume ... 306.6 Å³/f.u.
Density of states at the Fermi level ... 9.7 states/eV per cell